ThZnRuRh: relaxed, PBE-GGA.

abc: 3.729 4.316 4.426
angles: 90.00 90.00 90.00
Element x y z (fractional)
Th1 0.000 0.000 0.000
Zn1 0.000 0.500 0.500
Ru1 0.500 0.500 0.000
Rh1 0.500 0.000 0.500

Output
- ΔE_f (meV per atom) = -540
- VASP energy (eV per atom) = -6.870
- N(E_F) (states/eV/f.u.) = 2.89
- excess energy over the best structure of this formula in the dataset (kJ/mol of atoms) = 0.0